No. 1
{
  "formula": "CoTe2Au",
  "functional": "PBEsol",
  "state": "optimized geometry",
  "lattice_angstrom": [[-3.7107, -0.2584, 0.2494], [-2.0015, -1.0211, -2.9747], [-1.2446, -7.8612, 1.2000]],
  "species": ["Au", "Te", "Te", "Co"],
  "fractional_positions": [[0.0000, 0.0000, 0.0000], [0.1113, 0.1113, 0.6662], [0.8887, 0.8887, 0.3338], [0.5000, 0.5000, 0.5000]],
  "de_polymorph_mev_per_atom": 0,
  "raw_formation_energy_mev_per_atom": -50
}

No. 2
{
  "formula": "Co2TeAu",
  "functional": "PBEsol",
  "state": "optimized geometry",
  "lattice_angstrom": [[-2.8158, 3.3206, 0.7769], [-2.4692, -0.0072, 3.6691], [0.8369, 2.8980, 3.2343]],
  "species": ["Au", "Co", "Co", "Te"],
  "fractional_positions": [[0.5000, 0.5000, 0.5000], [0.7500, 0.7500, 0.7500], [0.0000, 0.0000, 0.0000], [0.2500, 0.2500, 0.2500]],
  "raw_formation_energy_mev_per_atom": 562
}

No. 3
{
  "formula": "Co2TeAu",
  "functional": "PBEsol",
  "state": "optimized geometry",
  "lattice_angstrom": [[-3.0078, 1.4074, -0.7917], [-1.3613, -3.6735, -1.3524], [-1.4083, -0.8766, 3.7981]],
  "species": ["Co", "Co", "Au", "Te"],
  "fractional_positions": [[0.0000, 0.0000, 0.5000], [0.0000, 0.5000, 0.0000], [0.5000, 0.5000, 0.5000], [0.5000, 0.0000, 0.0000]],
  "raw_formation_energy_mev_per_atom": 305
}

No. 4
{
  "formula": "Co2TeAu",
  "functional": "PBEsol",
  "state": "optimized geometry",
  "lattice_angstrom": [[-1.4020, -3.0618, -1.7164], [1.0760, -2.1342, 2.9282], [-3.5247, 3.2575, 1.2299]],
  "species": ["Te", "Co", "Co", "Au"],
  "fractional_positions": [[0.5000, 0.5000, 0.0000], [0.0000, 0.0000, 0.0000], [0.7500, 0.2500, 0.5000], [0.2500, 0.7500, 0.5000]],
  "raw_formation_energy_mev_per_atom": 400
}

No. 5
{
  "formula": "CoTe2Au",
  "functional": "PBEsol",
  "state": "optimized geometry",
  "lattice_angstrom": [[3.4221, 0.0000, 0.0000], [0.0000, 4.2426, 0.0000], [-1.7111, -2.1213, 5.8153]],
  "species": ["Te", "Te", "Co", "Au"],
  "fractional_positions": [[0.3423, 0.3423, 0.6846], [0.6577, 0.6577, 0.3154], [0.0000, 0.5000, 0.0000], [0.5000, 0.0000, 0.0000]],
  "de_polymorph_mev_per_atom": 78,
  "raw_formation_energy_mev_per_atom": 28
}

No. 6
{
  "formula": "TiCoAu3",
  "functional": "PBEsol",
  "state": "optimized geometry",
  "lattice_angstrom": [[-2.5636, 1.4261, 3.5800], [-2.1348, -4.1053, 0.1067], [3.2082, -1.5921, 2.9317]],
  "species": ["Au", "Au", "Au", "Ti", "Co"],
  "fractional_positions": [[0.5000, 0.0000, 0.0000], [0.0000, 0.0000, 0.5000], [0.0000, 0.5000, 0.0000], [0.5000, 0.5000, 0.5000], [0.0000, 0.0000, 0.0000]],
  "ef_kj_per_mol_atoms": 78.0
}

Please write out number 3 again, unchanged.
{
  "formula": "Co2TeAu",
  "functional": "PBEsol",
  "state": "optimized geometry",
  "lattice_angstrom": [[-3.0078, 1.4074, -0.7917], [-1.3613, -3.6735, -1.3524], [-1.4083, -0.8766, 3.7981]],
  "species": ["Co", "Co", "Au", "Te"],
  "fractional_positions": [[0.0000, 0.0000, 0.5000], [0.0000, 0.5000, 0.0000], [0.5000, 0.5000, 0.5000], [0.5000, 0.0000, 0.0000]],
  "raw_formation_energy_mev_per_atom": 305
}

Number 2 is which compound? Co2TeAu